# 1
VASP calculation (GGA-PBE) on Nb12Mo2W5 after structural relaxation.

## Properties
ΔE_f (eV per formula unit): 12.39
SG: C2/m (12)

a b c (Å): 7.7703 7.7703 8.8259
angles (deg): 96.77 96.77 44.89
Sites, in units of the cell vectors:
Nb (0.0232, 0.0232, 0.3048)
Nb (0.0847, 0.5604, 0.8845)
Nb (0.0943, 0.6095, 0.4192)
Nb (0.3905, 0.9057, 0.5808)
Nb (0.4172, 0.4172, 0.1916)
Nb (0.4396, 0.9153, 0.1155)
Nb (0.5604, 0.0847, 0.8845)
Nb (0.5828, 0.5828, 0.8084)
Nb (0.6095, 0.0943, 0.4192)
Nb (0.9057, 0.3905, 0.5808)
Nb (0.9153, 0.4396, 0.1155)
Nb (0.9768, 0.9768, 0.6952)
Mo (0.2363, 0.7637, 0.0000)
Mo (0.7637, 0.2363, 0.0000)
W (0.1525, 0.1525, 0.8585)
W (0.2038, 0.2038, 0.3545)
W (0.5000, 0.5000, 0.5000)
W (0.7962, 0.7962, 0.6455)
W (0.8475, 0.8475, 0.1415)

---

# 2
VASP calculation (GGA-PBE) on NbMo2W8 after structural relaxation.

## Properties
ΔE_f (eV per formula unit): 5.87
SG: C2/m (12)

a b c (Å): 4.5787 4.5787 9.1467
angles (deg): 90.83 90.83 81.22
Sites, in units of the cell vectors:
Nb (0.0000, 0.0000, 0.0000)
Mo (0.2615, 0.2615, 0.5017)
Mo (0.7385, 0.7385, 0.4983)
W (0.2322, 0.7584, 0.3306)
W (0.2416, 0.7678, 0.6694)
W (0.2869, 0.2869, 0.1670)
W (0.3339, 0.3339, 0.8633)
W (0.6661, 0.6661, 0.1367)
W (0.7131, 0.7131, 0.8330)
W (0.7584, 0.2322, 0.3306)
W (0.7678, 0.2416, 0.6694)

---

# 3
VASP calculation (GGA-PBE) on Nb2Mo6W after structural relaxation.

## Properties
ΔE_f (eV per formula unit): 2.41
SG: C2/m (12)
Offset from the most stable computed form (eV per formula unit): 3.16

a b c (Å): 7.9698 7.9698 2.6706
angles (deg): 97.02 97.02 64.12
Sites, in units of the cell vectors:
Nb (0.1659, 0.1659, 0.3305)
Nb (0.8341, 0.8341, 0.6695)
Mo (0.1654, 0.5040, 0.1713)
Mo (0.1743, 0.8257, 0.5000)
Mo (0.4960, 0.8346, 0.8287)
Mo (0.5040, 0.1654, 0.1713)
Mo (0.8257, 0.1743, 0.5000)
Mo (0.8346, 0.4960, 0.8287)
W (0.5000, 0.5000, 0.0000)

---

# 4
VASP calculation (GGA-PBE) on Nb3Mo2W after structural relaxation.

## Properties
ΔE_f (eV per formula unit): 0.85
SG: C2/m (12)
Offset from the most stable computed form (eV per formula unit): 1.50

a b c (Å): 7.2108 7.2108 7.0091
angles (deg): 97.59 97.59 36.31
Sites, in units of the cell vectors:
Nb (0.0713, 0.0713, 0.3624)
Nb (0.3081, 0.3081, 0.5366)
Nb (0.3880, 0.3880, 0.9346)
Nb (0.6120, 0.6120, 0.0654)
Nb (0.6919, 0.6919, 0.4634)
Nb (0.9287, 0.9287, 0.6376)
Mo (0.2315, 0.2315, 0.1509)
Mo (0.4574, 0.4574, 0.3124)
Mo (0.5426, 0.5426, 0.6876)
Mo (0.7685, 0.7685, 0.8491)
W (0.1536, 0.1536, 0.7763)
W (0.8464, 0.8464, 0.2237)

---

# 5
VASP calculation (GGA-PBE) on NbMo3W9 after structural relaxation.

## Properties
ΔE_f (eV per formula unit): 4.36
SG: P1 (1)

a b c (Å): 2.7042 11.4142 14.5526
angles (deg): 87.41 86.43 84.18
Sites, in units of the cell vectors:
Nb (0.0000, 0.0000, 0.0000)
Nb (0.0694, 0.5023, 0.4970)
Mo (0.0042, 0.7459, 0.2513)
Mo (0.1630, 0.8539, 0.7095)
Mo (0.1952, 0.3557, 0.2092)
Mo (0.5870, 0.2489, 0.7471)
Mo (0.9134, 0.6416, 0.7828)
Mo (0.9232, 0.1440, 0.2826)
W (0.1318, 0.5958, 0.9652)
W (0.2600, 0.7776, 0.0717)
W (0.2623, 0.2200, 0.9288)
W (0.2923, 0.7203, 0.4297)
W (0.3318, 0.4665, 0.6775)
W (0.3481, 0.9663, 0.1811)
W (0.4193, 0.0623, 0.6444)
W (0.4864, 0.3159, 0.3897)
W (0.5069, 0.8143, 0.8893)
W (0.5384, 0.5613, 0.1390)
W (0.5966, 0.9275, 0.3588)
W (0.6215, 0.1862, 0.1043)
W (0.6309, 0.6845, 0.6042)
W (0.6903, 0.4278, 0.8583)
W (0.7440, 0.0298, 0.8217)
W (0.7717, 0.5342, 0.3182)
W (0.8296, 0.0917, 0.4710)
W (0.9347, 0.2791, 0.5692)

---

# 6
VASP calculation (GGA-PBE) on NbMoW after structural relaxation.

## Properties
ΔE_f (eV per formula unit): -0.23
SG: C2/m (12)
Offset from the most stable computed form (eV per formula unit): 0.09

a b c (Å): 4.5622 3.2077 13.6332
angles (deg): 90.00 90.06 90.00
Sites, in units of the cell vectors:
Nb (0.2497, 0.0000, 0.2486)
Nb (0.2503, 0.5000, 0.7514)
Nb (0.7503, 0.0000, 0.7514)
Nb (0.7497, 0.5000, 0.2486)
Mo (0.2499, 0.0000, 0.9201)
Mo (0.2501, 0.5000, 0.0799)
Mo (0.7501, 0.0000, 0.0799)
Mo (0.7499, 0.5000, 0.9201)
W (0.2503, 0.0000, 0.5811)
W (0.2497, 0.5000, 0.4189)
W (0.7497, 0.0000, 0.4189)
W (0.7503, 0.5000, 0.5811)

---

# 7
VASP calculation (GGA-PBE) on Nb2Mo6W after structural relaxation.

## Properties
ΔE_f (eV per formula unit): -0.75
SG: C2/m (12)
Offset from the most stable computed form (eV per formula unit): 0.00

a b c (Å): 6.9779 6.9779 5.3077
angles (deg): 110.16 110.16 37.64
Sites, in units of the cell vectors:
Nb (0.1124, 0.1124, 0.0584)
Nb (0.8876, 0.8876, 0.9416)
Mo (0.2222, 0.2222, 0.6151)
Mo (0.3336, 0.3336, 0.1707)
Mo (0.4449, 0.4449, 0.7203)
Mo (0.5551, 0.5551, 0.2797)
Mo (0.6664, 0.6664, 0.8293)
Mo (0.7778, 0.7778, 0.3849)
W (0.0000, 0.0000, 0.5000)

---

# 8
VASP calculation (GGA-PBE) on NbMoW3 after structural relaxation.

## Properties
ΔE_f (eV per formula unit): 9.80
SG: Pm-3m (221)
Offset from the most stable computed form (eV per formula unit): 7.36

a b c (Å): 4.6852 4.6852 4.6852
angles (deg): 90.00 90.00 90.00
Sites, in units of the cell vectors:
Nb (0.0000, 0.0000, 0.0000)
Mo (0.5000, 0.5000, 0.5000)
W (0.0000, 0.5000, 0.5000)
W (0.5000, 0.0000, 0.5000)
W (0.5000, 0.5000, 0.0000)

---

# 9
VASP calculation (GGA-PBE) on NbMo2W after structural relaxation.

## Properties
ΔE_f (eV per formula unit): 3.29
SG: Immm (71)
Offset from the most stable computed form (eV per formula unit): 3.74

a b c (Å): 3.0179 4.4960 10.4971
angles (deg): 90.00 90.00 90.00
Sites, in units of the cell vectors:
Nb (0.0000, 0.0000, 0.0000)
Nb (0.5000, 0.5000, 0.5000)
Mo (0.0000, 0.0000, 0.2573)
Mo (0.0000, 0.0000, 0.7427)
Mo (0.5000, 0.5000, 0.2427)
Mo (0.5000, 0.5000, 0.7573)
W (0.0000, 0.0000, 0.5000)
W (0.5000, 0.5000, 0.0000)

---

# 10
VASP calculation (GGA-PBE) on NbMoW14 after structural relaxation.

## Properties
ΔE_f (eV per formula unit): -0.38
SG: Cmmm (65)

a b c (Å): 5.5202 5.5202 9.0363
angles (deg): 90.00 90.00 109.17
Sites, in units of the cell vectors:
Nb (0.0000, 0.0000, 0.0000)
Mo (0.5000, 0.5000, 0.0000)
W (0.0000, 0.0000, 0.5000)
W (0.0000, 0.5000, 0.0000)
W (0.0000, 0.5000, 0.5000)
W (0.2499, 0.7501, 0.2506)
W (0.2499, 0.7501, 0.7494)
W (0.2510, 0.2510, 0.2517)
W (0.2510, 0.2510, 0.7483)
W (0.5000, 0.0000, 0.0000)
W (0.5000, 0.0000, 0.5000)
W (0.5000, 0.5000, 0.5000)
W (0.7490, 0.7490, 0.2517)
W (0.7490, 0.7490, 0.7483)
W (0.7501, 0.2499, 0.2506)
W (0.7501, 0.2499, 0.7494)

---

# 11
VASP calculation (GGA-PBE) on Nb5Mo2W2 after structural relaxation.

## Properties
ΔE_f (eV per formula unit): 4.13
SG: Cmce (64)

a b c (Å): 8.3249 8.3249 6.5437
angles (deg): 90.00 90.00 46.63
Sites, in units of the cell vectors:
Nb (0.0000, 0.0000, 0.0000)
Nb (0.0472, 0.6709, 0.6918)
Nb (0.1709, 0.5472, 0.1918)
Nb (0.3291, 0.9528, 0.6918)
Nb (0.4528, 0.8291, 0.1918)
Nb (0.5000, 0.5000, 0.5000)
Nb (0.5472, 0.1709, 0.8082)
Nb (0.6709, 0.0472, 0.3082)
Nb (0.8291, 0.4528, 0.8082)
Nb (0.9528, 0.3291, 0.3082)
Mo (0.2354, 0.2354, 0.0000)
Mo (0.2646, 0.2646, 0.5000)
Mo (0.7354, 0.7354, 0.5000)
Mo (0.7646, 0.7646, 0.0000)
W (0.1358, 0.8642, 0.3696)
W (0.3642, 0.6358, 0.8696)
W (0.6358, 0.3642, 0.1304)
W (0.8642, 0.1358, 0.6304)

---

# 12
VASP calculation (GGA-PBE) on NbMo6W2 after structural relaxation.

## Properties
ΔE_f (eV per formula unit): 3.69
SG: P-1 (2)
Offset from the most stable computed form (eV per formula unit): 0.00

a b c (Å): 4.5325 5.5357 6.6157
angles (deg): 96.69 110.01 90.11
Sites, in units of the cell vectors:
Nb (0.0000, 0.0000, 0.0000)
Mo (0.2952, 0.3327, 0.5911)
Mo (0.2991, 0.8504, 0.5984)
Mo (0.4970, 0.7411, 0.9941)
Mo (0.5030, 0.2589, 0.0059)
Mo (0.7009, 0.1496, 0.4016)
Mo (0.7048, 0.6673, 0.4089)
W (0.1040, 0.4777, 0.2079)
W (0.8960, 0.5223, 0.7921)